1.
# Er3ScIr4 PBE optimized geometry
data_Er3ScIr4
_chemical_formula_sum 'Er6 Sc2 Ir8'
_symmetry_space_group_name_H-M 'I 4/m m m'
_symmetry_Int_Tables_number 139
_symmetry_space_group_name_Hall '-I 4 2'
_cell_length_a 4.6597
_cell_length_b 4.6597
_cell_length_c 13.9158
_cell_angle_alpha 90.00
_cell_angle_beta 90.00
_cell_angle_gamma 90.00
loop_
_atom_site_label
_atom_site_fract_x
_atom_site_fract_y
_atom_site_fract_z
Er1 0.0000 0.0000 0.0000
Er2 0.0000 0.0000 0.2508
Sc1 0.0000 0.0000 0.5000
Ir1 0.0000 0.5000 0.1212
# * calculated volume: 151 Å³/f.u.
# * density of states at the Fermi level: 0.24 states/eV/atom
# * electronic total energy: -125.34 eV for the cell shown



2.
# RbAlTe2 PBE optimized geometry
data_RbAlTe2
_chemical_formula_sum 'Rb2 Al2 Te4'
_symmetry_space_group_name_H-M 'I -4 m 2'
_symmetry_Int_Tables_number 119
_symmetry_space_group_name_Hall 'I -4 -2'
_cell_length_a 4.2797
_cell_length_b 4.2797
_cell_length_c 15.5718
_cell_angle_alpha 90.00
_cell_angle_beta 90.00
_cell_angle_gamma 90.00
loop_
_atom_site_label
_atom_site_fract_x
_atom_site_fract_y
_atom_site_fract_z
Rb1 0.0000 0.0000 0.0000
Al1 0.0000 0.5000 0.2500
Te1 0.0000 0.0000 0.3527
# * calculated volume: 143 Å³/f.u.
# * uncorrected formation energy: -0.735 eV/atom
# * density of states at the Fermi level: 0.00 states/eV/atom
# * electronic total energy: -27.87 eV for the cell shown



3.
# SbSeS2 PBE optimized geometry
data_SbSeS2
_chemical_formula_sum 'Sb2 Se2 S4'
_symmetry_space_group_name_H-M 'P -1'
_symmetry_Int_Tables_number 2
_cell_length_a 4.6217
_cell_length_b 6.7856
_cell_length_c 7.9852
_cell_angle_alpha 104.99
_cell_angle_beta 93.79
_cell_angle_gamma 91.06
loop_
_symmetry_equiv_pos_as_xyz
'x,y,z'
'-x,-y,-z'
loop_
_atom_site_label
_atom_site_fract_x
_atom_site_fract_y
_atom_site_fract_z
Sb1 0.1941 0.0375 0.2186
Se1 0.2154 0.2189 0.9640
S1 0.1713 0.6513 0.3933
S2 0.1835 0.6888 0.6458
# * E above lowest polymorph: 0 meV/atom
# * calculated volume: 121 Å³/f.u.
# * uncorrected formation energy: -0.044 eV/atom
# * density of states at the Fermi level: 0.00 states/eV/atom
# * electronic total energy: -32.07 eV for the cell shown



4.
# Na4ZnPd3O8 PBE optimized geometry
data_Na4ZnPd3O8
_chemical_formula_sum 'Na8 Zn2 Pd6 O16'
_symmetry_space_group_name_H-M 'C 1 2/m 1'
_symmetry_Int_Tables_number 12
_cell_length_a 11.7194
_cell_length_b 6.1416
_cell_length_c 6.2174
_cell_angle_alpha 90.00
_cell_angle_beta 120.68
_cell_angle_gamma 90.00
loop_
_symmetry_equiv_pos_as_xyz
'x,y,z'
'-x,-y,-z'
'-x,y,-z'
'x,-y,z'
'x+1/2,y+1/2,z'
'-x+1/2,-y+1/2,-z'
'-x+1/2,y+1/2,-z'
'x+1/2,-y+1/2,z'
loop_
_atom_site_label
_atom_site_fract_x
_atom_site_fract_y
_atom_site_fract_z
Na1 0.0000 0.0000 0.0000
Na2 0.0000 0.5000 0.0000
Na3 0.2500 0.2500 0.5000
Zn1 0.0000 0.0000 0.5000
Pd1 0.0000 0.5000 0.5000
Pd2 0.2500 0.2500 0.0000
O1 0.0449 0.2554 0.7526
O2 0.2212 0.0000 0.1863
O3 0.2444 0.5000 0.2154
# * calculated volume: 192 Å³/f.u.
# * uncorrected formation energy: -1.007 eV/atom
# * density of states at the Fermi level: 0.03 states/eV/atom
# * electronic total energy: -155.82 eV for the cell shown



5.
# AcPmPrCd PBE optimized geometry
data_AcPmPrCd
_chemical_formula_sum 'Ac1 Pm1 Pr1 Cd1'
_symmetry_space_group_name_H-M 'P 4 m m'
_symmetry_Int_Tables_number 99
_cell_length_a 3.8659
_cell_length_b 3.8659
_cell_length_c 9.0559
_cell_angle_alpha 90.00
_cell_angle_beta 90.00
_cell_angle_gamma 90.00
loop_
_symmetry_equiv_pos_as_xyz
'x,y,z'
'-y,x,z'
'-x,-y,z'
'y,-x,z'
'-x,y,z'
'y,x,z'
'x,-y,z'
'-y,-x,z'
loop_
_atom_site_label
_atom_site_fract_x
_atom_site_fract_y
_atom_site_fract_z
Ac1 0.0000 0.0000 0.0000
Pm1 0.5000 0.5000 0.2853
Pr1 0.5000 0.5000 0.7098
Cd1 0.0000 0.0000 0.4916
# * E above lowest polymorph: 0 meV/atom
# * calculated volume: 135 Å³/f.u.
# * density of states at the Fermi level: 1.30 states/eV/atom
# * electronic total energy: -15.15 eV for the cell shown



Copy entry 3 word for word.
# SbSeS2 PBE optimized geometry
data_SbSeS2
_chemical_formula_sum 'Sb2 Se2 S4'
_symmetry_space_group_name_H-M 'P -1'
_symmetry_Int_Tables_number 2
_cell_length_a 4.6217
_cell_length_b 6.7856
_cell_length_c 7.9852
_cell_angle_alpha 104.99
_cell_angle_beta 93.79
_cell_angle_gamma 91.06
loop_
_symmetry_equiv_pos_as_xyz
'x,y,z'
'-x,-y,-z'
loop_
_atom_site_label
_atom_site_fract_x
_atom_site_fract_y
_atom_site_fract_z
Sb1 0.1941 0.0375 0.2186
Se1 0.2154 0.2189 0.9640
S1 0.1713 0.6513 0.3933
S2 0.1835 0.6888 0.6458
# * E above lowest polymorph: 0 meV/atom
# * calculated volume: 121 Å³/f.u.
# * uncorrected formation energy: -0.044 eV/atom
# * density of states at the Fermi level: 0.00 states/eV/atom
# * electronic total energy: -32.07 eV for the cell shown



- calculated volume of number 5 (AcPmPrCd)?
  135 Å³/f.u.



Repeat the fourth record exactly.
# Na4ZnPd3O8 PBE optimized geometry
data_Na4ZnPd3O8
_chemical_formula_sum 'Na8 Zn2 Pd6 O16'
_symmetry_space_group_name_H-M 'C 1 2/m 1'
_symmetry_Int_Tables_number 12
_cell_length_a 11.7194
_cell_length_b 6.1416
_cell_length_c 6.2174
_cell_angle_alpha 90.00
_cell_angle_beta 120.68
_cell_angle_gamma 90.00
loop_
_symmetry_equiv_pos_as_xyz
'x,y,z'
'-x,-y,-z'
'-x,y,-z'
'x,-y,z'
'x+1/2,y+1/2,z'
'-x+1/2,-y+1/2,-z'
'-x+1/2,y+1/2,-z'
'x+1/2,-y+1/2,z'
loop_
_atom_site_label
_atom_site_fract_x
_atom_site_fract_y
_atom_site_fract_z
Na1 0.0000 0.0000 0.0000
Na2 0.0000 0.5000 0.0000
Na3 0.2500 0.2500 0.5000
Zn1 0.0000 0.0000 0.5000
Pd1 0.0000 0.5000 0.5000
Pd2 0.2500 0.2500 0.0000
O1 0.0449 0.2554 0.7526
O2 0.2212 0.0000 0.1863
O3 0.2444 0.5000 0.2154
# * calculated volume: 192 Å³/f.u.
# * uncorrected formation energy: -1.007 eV/atom
# * density of states at the Fermi level: 0.03 states/eV/atom
# * electronic total energy: -155.82 eV for the cell shown